(1)
Here is LaCrRe3 at its PBEsol-relaxed geometry from the Alexandria database. Energies are from SCAN.

Cell lengths 4.545, 4.545, 4.545 Å; angles 90.00, 90.00, 90.00 degrees
Space group Pm-3m (No. 221)
Symmetry-distinct sites (fractional):
La 0.000 0.000 0.000 [1 per cell]
Cr 0.500 0.500 0.500 [1 per cell]
Re 0.000 0.500 0.500 [3 per cell]

- DFT total energy (eV/atom) = -53.9671
- calculated formation energy (eV/atom) = 0.9893

(2)
Here is La2CrRe at its PBEsol-relaxed geometry from the Alexandria database. Energies are from SCAN.

Cell lengths 3.580, 3.580, 7.173 Å; angles 90.00, 90.00, 90.00 degrees
Space group P4/mmm (No. 123)
Symmetry-distinct sites (fractional):
La 0.000 0.000 0.236 [2 per cell]
Cr 0.500 0.500 0.500 [1 per cell]
Re 0.500 0.500 0.000 [1 per cell]

- DFT total energy (eV/atom) = -43.5141
- calculated formation energy (eV/atom) = 0.4089

(3)
Here is LaCrRe2Se at its PBEsol-relaxed geometry from the Alexandria database. Energies are from SCAN.

Cell lengths 4.669, 4.669, 4.484 Å; angles 90.00, 90.00, 90.00 degrees
Space group P4/mmm (No. 123)
Symmetry-distinct sites (fractional):
La 0.000 0.000 0.000 [1 per cell]
Cr 0.500 0.500 0.000 [1 per cell]
Re 0.000 0.500 0.500 [2 per cell]
Se 0.500 0.500 0.500 [1 per cell]

- ΔE_f (raw) (meV per atom) = 793
- DFT total energy (eV/atom) = -43.9592

(4)
Here is La2CrRh at its PBEsol-relaxed geometry from the Alexandria database. Energies are from SCAN.

Cell lengths 3.862, 4.251, 11.647 Å; angles 90.00, 90.00, 90.00 degrees
Space group Amm2 (No. 38)
Symmetry-distinct sites (fractional):
La 0.000 0.000 0.000 [2 per cell]
La 0.500 0.000 0.285 [2 per cell]
Cr 0.000 0.000 0.703 [2 per cell]
Rh 0.500 0.000 0.557 [2 per cell]

- DFT total energy (eV/atom) = -34.8668
- calculated formation energy (eV/atom) = -0.2753

(5)
Here is La2CrRh at its PBEsol-relaxed geometry from the Alexandria database. Energies are from SCAN.

Cell lengths 3.618, 3.618, 7.086 Å; angles 90.00, 90.00, 90.00 degrees
Space group P4/mmm (No. 123)
Symmetry-distinct sites (fractional):
La 0.000 0.000 0.233 [2 per cell]
Cr 0.500 0.500 0.500 [1 per cell]
Rh 0.500 0.500 0.000 [1 per cell]

- DFT total energy (eV/atom) = -34.8203
- calculated formation energy (eV/atom) = -0.2287

(6)
Here is LaCrRu2 at its PBEsol-relaxed geometry from the Alexandria database. Energies are from SCAN.

Cell lengths 2.7996, 2.7996, 28.2138 Å; angles 90.00, 90.00, 120.00 degrees
Space group R3m (No. 160, hexagonal axes)
Symmetry-distinct sites (fractional):
La 0.0000 0.0000 0.0000 [3 per cell]
Cr 0.0000 0.0000 0.7604 [3 per cell]
Ru 0.0000 0.0000 0.2361 [3 per cell]
Ru 0.0000 0.0000 0.4951 [3 per cell]

- DFT total energy (eV/atom) = -31.9824
- calculated formation energy (eV/atom) = 0.8032

(7)
Here is LaCrRu2 at its PBEsol-relaxed geometry from the Alexandria database. Energies are from SCAN.

Cell lengths 2.8369, 2.8369, 27.5284 Å; angles 90.00, 90.00, 120.00 degrees
Space group R-3m (No. 166, hexagonal axes)
Symmetry-distinct sites (fractional):
La 0.0000 0.0000 0.0000 [3 per cell]
Cr 0.0000 0.0000 0.5000 [3 per cell]
Ru 0.0000 0.0000 0.2346 [6 per cell]

- DFT total energy (eV/atom) = -32.2680
- calculated formation energy (eV/atom) = 0.5176

(8)
Here is LaCrRu at its PBEsol-relaxed geometry from the Alexandria database. Energies are from SCAN.

Cell lengths 3.018, 3.018, 11.740 Å; angles 90.00, 90.00, 90.00 degrees
Space group I4mm (No. 107)
Symmetry-distinct sites (fractional):
La 0.000 0.000 0.000 [2 per cell]
Cr 0.000 0.000 0.700 [2 per cell]
Ru 0.000 0.000 0.295 [2 per cell]

- DFT total energy (eV/atom) = -31.8519
- calculated formation energy (eV/atom) = 0.2534

(9)
Here is LaCrRu2 at its PBEsol-relaxed geometry from the Alexandria database. Energies are from SCAN.

Cell lengths 4.352, 4.352, 6.932 Å; angles 90.00, 90.00, 90.00 degrees
Space group I-4m2 (No. 119)
Symmetry-distinct sites (fractional):
La 0.000 0.000 0.000 [2 per cell]
Cr 0.000 0.500 0.750 [2 per cell]
Ru 0.000 0.000 0.500 [2 per cell]
Ru 0.000 0.500 0.250 [2 per cell]

- DFT total energy (eV/atom) = -32.3420
- calculated formation energy (eV/atom) = 0.4435

(10)
Here is LaCrRu2 at its PBEsol-relaxed geometry from the Alexandria database. Energies are from SCAN.

Cell lengths 9.515, 2.985, 5.124 Å; angles 90.00, 104.17, 90.00 degrees
Space group Cm (No. 8)
Symmetry-distinct sites (fractional):
La 0.000 0.000 0.000 [2 per cell]
Cr 0.283 0.500 0.341 [2 per cell]
Ru 0.003 0.500 0.512 [2 per cell]
Ru 0.233 0.000 0.668 [2 per cell]

- DFT total energy (eV/atom) = -32.5156
- calculated formation energy (eV/atom) = 0.2700

(11)
Here is LaCrRu3 at its PBEsol-relaxed geometry from the Alexandria database. Energies are from SCAN.

Cell lengths 4.694, 4.694, 4.694 Å; angles 90.00, 90.00, 90.00 degrees
Space group Pm-3m (No. 221)
Symmetry-distinct sites (fractional):
La 0.000 0.000 0.000 [1 per cell]
Cr 0.500 0.500 0.500 [1 per cell]
Ru 0.000 0.000 0.500 [3 per cell]

- DFT total energy (eV/atom) = -31.3304
- calculated formation energy (eV/atom) = 1.8633

(12)
Here is LaCrS2 at its PBEsol-relaxed geometry from the Alexandria database. Energies are from SCAN.

Cell lengths 6.773, 6.773, 6.773 Å; angles 90.00, 90.00, 90.00 degrees
Space group Fm-3m (No. 225)
Symmetry-distinct sites (fractional):
La 0.000 0.000 0.000 [4 per cell]
Cr 0.000 0.000 0.500 [4 per cell]
S 0.250 0.250 0.250 [8 per cell]

- ΔE_f (raw) (meV per atom) = -1376
- DFT total energy (eV/atom) = -21.5625